[1]
The following is a DFT calculation (PBE-GGA) of a relaxed structure of TiInC2.

**N(E_F)**: 2.48 states/eV/f.u.
**Size of the total moment**: 0.0 μB per cell
**Formation energy from the elements**: 0.716 eV/atom

abc: 5.186 5.186 5.791
angles: 63.40 63.40 90.00
Sites, in units of the cell vectors:
Ti 0.250 0.750 0.500
In 0.750 0.250 0.500
C 0.159 0.625 0.250
Ti 0.500 0.500 0.000
C 0.875 0.841 0.750
C 0.591 0.125 0.250
C 0.375 0.409 0.750
In 0.000 0.000 0.000

[2]
The following is a DFT calculation (PBE-GGA) of a relaxed structure of Ti2InC.

**N(E_F)**: 1.19 states/eV/f.u.
**Size of the total moment**: 0.0 μB per cell
**Formation energy from the elements**: -0.645 eV/atom
**E above lowest polymorph**: 0.0264 eV/atom

abc: 3.147 3.147 7.345
angles: 102.36 90.00 120.01
Sites, in units of the cell vectors:
C 0.000 0.500 0.500
Ti 0.282 0.063 0.344
In 0.500 0.500 0.000
Ti 0.718 0.937 0.656

[3]
The following is a DFT calculation (PBE-GGA) of a relaxed structure of Ti6In2C.

**N(E_F)**: 11.11 states/eV/f.u.
**Size of the total moment**: 2.3 μB per cell
**Formation energy from the elements**: -0.322 eV/atom

abc: 5.960 5.960 5.961
angles: 59.99 59.99 60.01
Sites, in units of the cell vectors:
In 0.750 0.750 0.750
Ti 0.247 0.753 0.246
In 0.250 0.250 0.250
Ti 0.753 0.247 0.754
Ti 0.246 0.246 0.753
Ti 0.247 0.753 0.754
Ti 0.753 0.247 0.246
Ti 0.754 0.754 0.247
C 0.500 0.500 0.500

[4]
The following is a DFT calculation (PBE-GGA) of a relaxed structure of Ti2InC.

**N(E_F)**: 5.54 states/eV/f.u.
**Size of the total moment**: 0.0 μB per cell
**Formation energy from the elements**: 0.920 eV/atom
**E above lowest polymorph**: 1.5912 eV/atom

abc: 4.423 4.423 4.423
angles: 60.00 60.00 60.00
Sites, in units of the cell vectors:
Ti 0.250 0.250 0.250
C 0.000 0.000 0.000
Ti 0.750 0.750 0.750
In 0.500 0.500 0.500